Crystalline PmPr2ErBi5 at its relaxed geometry, computed with PBE-GGA.

Summary:
Symmetry   No. 123
E_form   -192 meV/atom
V   39.158 Å³ per atom
Crystal system   tetragonal

Geometry as CIF:
```
data_PmPr2ErBi5
_cell_length_a 5.3973
_cell_length_b 5.3973
_cell_length_c 12.0980
_cell_angle_alpha 90.00
_cell_angle_beta 90.00
_cell_angle_gamma 90.00
_symmetry_space_group_name_H-M 'P 1'
_symmetry_Int_Tables_number 1
loop_
_symmetry_equiv_pos_as_xyz
'x,y,z'
loop_
_atom_site_label
_atom_site_fract_x
_atom_site_fract_y
_atom_site_fract_z
Bi1 0.0000 0.0000 0.2491
Er1 0.0000 0.0000 0.5000
Bi2 0.0000 0.0000 0.7509
Bi3 0.5000 0.0000 0.5000
Pm1 0.0000 0.0000 0.0000
Pr1 0.5000 0.5000 0.2725
Pr2 0.5000 0.5000 0.7275
Bi4 0.5000 0.5000 0.0000
Bi5 0.0000 0.5000 0.5000
```

Crystalline PmPrEr2Bi4 at its relaxed geometry, computed with PBE-GGA.

Summary:
Symmetry   No. 10
E_form   -877 meV/atom
V   32.868 Å³ per atom
Crystal system   monoclinic

Geometry as CIF:
```
data_PmPrEr2Bi4
_cell_length_a 4.5350
_cell_length_b 7.8357
_cell_length_c 7.8500
_cell_angle_alpha 70.49
_cell_angle_beta 90.00
_cell_angle_gamma 90.00
_symmetry_space_group_name_H-M 'P 1'
_symmetry_Int_Tables_number 1
loop_
_symmetry_equiv_pos_as_xyz
'x,y,z'
loop_
_atom_site_label
_atom_site_fract_x
_atom_site_fract_y
_atom_site_fract_z
Bi1 0.0000 0.2384 0.2556
Bi2 0.5000 0.2396 0.7517
Pr1 0.5000 0.5000 0.0000
Bi3 0.0000 0.7616 0.7444
Pm1 0.0000 0.5000 0.5000
Bi4 0.5000 0.7604 0.2483
Er1 0.0000 0.0000 0.0000
Er2 0.5000 0.0000 0.5000
```